Record 1
# Ti5BiPb2 (PBE, relaxed)
data_Ti5BiPb2
_chemical_formula_sum 'Ti10 Bi2 Pb4'
_symmetry_space_group_name_H-M 'I 4/m m m'
_symmetry_Int_Tables_number 139
_symmetry_space_group_name_Hall '-I 4 2'
_cell_length_a 4.8603
_cell_length_b 4.8603
_cell_length_c 13.4605
_cell_angle_alpha 90.00
_cell_angle_beta 90.00
_cell_angle_gamma 90.00
loop_
_atom_site_label
_atom_site_fract_x
_atom_site_fract_y
_atom_site_fract_z
Ti1 0.0000 0.0000 0.0000
Ti2 0.0000 0.5000 0.1242
Bi1 0.0000 0.0000 0.5000
Pb1 0.0000 0.0000 0.2375
# - formation energy from the elements (meV/atom) = 95

Record 2
# CrTeRh (PBE, relaxed)
data_CrTeRh
_chemical_formula_sum 'Cr2 Te2 Rh2'
_symmetry_space_group_name_H-M 'I 4 m m'
_symmetry_Int_Tables_number 107
_symmetry_space_group_name_Hall 'I 4 -2'
_cell_length_a 3.6342
_cell_length_b 3.6342
_cell_length_c 8.0352
_cell_angle_alpha 90.00
_cell_angle_beta 90.00
_cell_angle_gamma 90.00
loop_
_atom_site_label
_atom_site_fract_x
_atom_site_fract_y
_atom_site_fract_z
Cr1 0.0000 0.0000 0.0000
Te1 0.0000 0.0000 0.3264
Rh1 0.0000 0.0000 0.6501
# - formation energy without anion corrections (eV per atom) = 0.150

Record 3
# Mg6MnMo (PBE, relaxed)
data_Mg6MnMo
_chemical_formula_sum 'Mg12 Mn2 Mo2'
_symmetry_space_group_name_H-M 'A m m 2'
_symmetry_Int_Tables_number 38
_cell_length_a 4.7596
_cell_length_b 5.9536
_cell_length_c 10.9269
_cell_angle_alpha 90.00
_cell_angle_beta 90.00
_cell_angle_gamma 90.00
loop_
_symmetry_equiv_pos_as_xyz
'x,y,z'
'-x,-y,z'
'-x,y,z'
'x,-y,z'
'x,y+1/2,z+1/2'
'-x,-y+1/2,z+1/2'
'-x,y+1/2,z+1/2'
'x,-y+1/2,z+1/2'
loop_
_atom_site_label
_atom_site_fract_x
_atom_site_fract_y
_atom_site_fract_z
Mg1 0.0000 0.0000 0.0000
Mg2 0.0000 0.2390 0.2525
Mg3 0.5000 0.0000 0.8428
Mg4 0.5000 0.2443 0.5955
Mn1 0.0000 0.0000 0.4793
Mo1 0.5000 0.0000 0.3632
# - formation energy from the elements (meV/atom) = 238